Entry 1:
Here is CaTcW2 after structural relaxation from Alexandria via LeMat-Bulk. Energies are from PBE.

Unit cell a=4.7450 b=2.7314 c=5.4378 alpha=80.15 beta=90.00 gamma=90.00
Element x y z (fractional)
W 0.0000 0.9793 0.9901
W 0.0000 0.5207 0.5099
Ca 0.5000 0.2500 0.2500
Tc 0.5000 0.7500 0.7500

Output
Calculated density: 12.095 g/cm³
Energy of formation from the pure elements: 0.650 eV per atom
Energy above the lowest structure with this stoichiometry: 156.0 meV/atom


Entry 2:
Here is CsZrCl4 after structural relaxation from Alexandria via LeMat-Bulk. Energies are from PBE.

Unit cell a=6.5875 b=7.3235 c=8.9254 alpha=105.84 beta=111.67 gamma=90.00
Last column: magnetic moment on the atom in μB.
Element x y z (fractional)
Cl 0.2730 0.6673 0.4153  -0.01
Cl 0.1424 0.1673 0.4154  -0.01
Cl 0.2647 0.5710 0.7988  0.00
Cl 0.7353 0.4290 0.2012  0.00
Cl 0.4657 0.9292 0.2012  0.00
Cl 0.7270 0.3327 0.5847  -0.01
Cl 0.5343 0.0708 0.7988  0.00
Cl 0.8576 0.8327 0.5846  -0.01
Cs 0.1812 0.2498 0.9997  0.00
Cs 0.8188 0.7502 0.0003  0.00
Zr 0.0000 0.5000 0.5000  0.72
Zr 0.5000 0.0000 0.5000  0.72

Output
Calculated density: 3.177 g/cm³
Raw formation energy: -1.766 eV per atom
Energy above the lowest structure with this stoichiometry: 92.9 meV/atom


Entry 3:
Here is UPaPt after structural relaxation from Alexandria via LeMat-Bulk. Energies are from PBE.

Unit cell a=3.7012 b=3.7012 c=5.3287 alpha=110.21 beta=110.21 gamma=90.30
Last column: magnetic moment on the atom in μB.
Element x y z (fractional)
Pa 0.3317 0.3317 0.6633  0.77
Pt 0.9994 0.9994 0.9988  -0.01
U 0.6689 0.6689 0.3379  1.97

Output
Calculated density: 17.330 g/cm³
Energy of formation from the pure elements: -0.364 eV per atom
Energy above the lowest structure with this stoichiometry: 0.0 meV/atom